DFT (PBE-GGA) results for an optimized crystal structure of Pm8Hg2Pd.

Values from the calculation:
Its space group is No. 12. Its distance to the lowest polymorph of the same formula is 0 meV/atom. The formation energy from the elements comes out at -0.285 eV/atom.

Cell: 9.5651 9.5651 7.0018 Å, 100.75 100.75 31.88°
With the nearest neighbours (Å) after each atom.
Fractional coordinates of all 11 atoms:
Pm 0.0213 0.0213 0.2707  2 Pd 3.14, 1 Hg 3.15, 3 Pm 3.45-3.50
Pm 0.2021 0.2021 0.8167  3 Hg 3.05-3.37
Pm 0.3454 0.3454 0.5302  1 Pd 2.89, 3 Hg 3.15-3.20
Pm 0.4105 0.4105 0.0493  1 Pd 3.26, 6 Pm 3.49-3.60, 2 Hg 3.62
Pm 0.5895 0.5895 0.9507  1 Pd 3.26, 6 Pm 3.49-3.60, 2 Hg 3.62
Pm 0.6546 0.6546 0.4698  1 Pd 2.89, 3 Hg 3.15-3.20
Pm 0.7979 0.7979 0.1833  3 Hg 3.05-3.37
Pm 0.9787 0.9787 0.7293  2 Pd 3.14, 1 Hg 3.15, 3 Pm 3.45-3.50
Hg 0.1903 0.1903 0.2450  7 Pm 3.05-3.37
Hg 0.8097 0.8097 0.7550  7 Pm 3.05-3.37
Pd 0.5000 0.5000 0.5000  6 Pm 2.89-3.14